1.
Below is Ba2ScCd after structural relaxation, with properties calculated at the PBE-GGA level.

Results
The value obtained for the density of states at the Fermi level is 1.58 states/eV/atom. As for the spin magnetization: 1.27 μB/f.u. Its crystal system is tetragonal. The calculation puts the electronic total energy at -2.58 eV/atom. As for the space-group type: I-4m2 (119).

a = 5.889 Å, b = 5.889 Å, c = 5.889 Å
α = 120.66°, β = 120.66°, γ = 88.87°
Each line ends with the local moment (μB).
Fractional positions:
Ba 0.000 0.000 0.000  0.11
Sc 0.750 0.250 0.500  0.54
Ba 0.250 0.750 0.500  0.07
Cd 0.500 0.500 0.000  -0.01

---

2.
Below is InTeAs2 after structural relaxation, with properties calculated at the PBE-GGA level.

Results
The value obtained for the density of states at the Fermi level is 0.25 states/eV/atom. The calculation puts the formation energy (no corrections) at 215 meV/atom. As for the spin magnetization: 0.00 μB/f.u. Its crystal system is orthorhombic. Its energy above the most stable polymorph in this dataset is 244 meV per atom. As for the space-group type: Cmm2 (35).

a = 3.199 Å, b = 3.199 Å, c = 10.888 Å
α = 90.00°, β = 90.00°, γ = 110.68°
Fractional positions:
As 0.000 0.000 0.050
Te 0.500 0.500 0.750
In 0.000 0.000 0.489
As 0.500 0.500 0.211

---

3.
Below is Th2SnSb after structural relaxation, with properties calculated at the PBE-GGA level.

Results
The value obtained for the density of states at the Fermi level is 0.58 states/eV/atom. The calculation puts the formation energy (no corrections) at -711 meV/atom. As for the spin magnetization: 0.00 μB/f.u. Its crystal system is trigonal. Its energy above the most stable polymorph in this dataset is 0 meV per atom. As for the space-group type: R-3m (166).

a = 4.530 Å, b = 4.530 Å, c = 7.812 Å
α = 106.86°, β = 90.00°, γ = 120.00°
Fractional positions:
Sb 0.000 0.500 0.500
Th 0.249 0.998 0.247
Sn 0.500 0.500 0.000
Th 0.751 0.002 0.753

---

4.
Below is Li2ICl after structural relaxation, with properties calculated at the PBE-GGA level.

Results
The value obtained for the density of states at the Fermi level is 0.00 states/eV/atom. The calculation puts the formation energy (no corrections) at -1380 meV/atom. As for the spin magnetization: 0.00 μB/f.u. Its crystal system is trigonal. Its energy above the most stable polymorph in this dataset is 124 meV per atom. As for the space-group type: R3m (160).

a = 3.936 Å, b = 3.936 Å, c = 7.268 Å
α = 74.29°, β = 74.29°, γ = 60.00°
Fractional positions:
Cl 0.493 0.493 0.522
Li 0.094 0.094 0.719
Li 0.246 0.246 0.261
I 0.668 0.668 0.997